# 1
VASP calculation (PBE) on Rb3Tl4In after structural relaxation.

Output
Energy of formation   -54 meV per atom
M_tot   0.000 μB/atom

Lattice parameters (Å, degrees): 6.9557 8.4555 11.5172 90.00 90.00 90.00
Space group Imm2 (No. 44)
Symmetry-distinct sites (fractional):
Rb 0.0000 0.0000 0.0000
Rb 0.0000 0.2319 0.6315
Tl 0.0000 0.3107 0.3087
Tl 0.2477 0.5000 0.8559
In 0.0000 0.5000 0.0780

# 2
VASP calculation (PBE) on LaMg2OsO8 after structural relaxation.

Output
Formation energy (no corrections)   -22.43 eV/f.u.
M_tot   0.000 μB/atom

Lattice parameters (Å, degrees): 4.5463 6.8238 4.7537 90.00 90.15 90.00
Space group P2/m (No. 10)
Symmetry-distinct sites (fractional):
La 0.0000 0.0000 0.0000
Mg 0.5000 0.2662 0.5000
Os 0.0000 0.5000 0.0000
O 0.2339 0.3005 0.8453
O 0.2467 0.5000 0.3157
O 0.2653 0.0000 0.4529

# 3
VASP calculation (PBE) on TaMn4Nb after structural relaxation.

Output
Energy of formation   -169 meV per atom
M_tot   0.413 μB/atom

Lattice parameters (Å, degrees): 6.8261 6.8261 6.8261 90.00 90.00 90.00
Space group F-43m (No. 216)
Symmetry-distinct sites (fractional):
Ta 0.0000 0.0000 0.0000
Mn 0.1253 0.1253 0.6253
Nb 0.2500 0.2500 0.2500

# 4
VASP calculation (PBE) on Ni3BiP after structural relaxation.

Output
Energy of formation   -59 meV per atom
M_tot   0.000 μB/atom

Lattice parameters (Å, degrees): 4.2932 4.2932 4.2932 90.00 90.00 90.00
Space group Pm-3m (No. 221)
Symmetry-distinct sites (fractional):
Ni 0.0000 0.0000 0.5000
Bi 0.5000 0.5000 0.5000
P 0.0000 0.0000 0.0000